[1]
Here is crystalline TbIn3S6 at its relaxed geometry from Alexandria. Energies are from GGA-PBE.

Size of the total moment ... 0.0 μB per cell
Mass density ... 5.20 Mg/m³
Formation energy without anion corrections ... -0.8988 eV/atom

Lattice parameters (Å, degrees): 10.900 3.888 11.295 90.00 111.77 90.00
Atoms (fractional coordinates):
Tb 0.202 0.250 0.051
Tb 0.798 0.750 0.949
In 0.018 0.750 0.295
In 0.334 0.250 0.438
In 0.404 0.750 0.832
In 0.596 0.250 0.168
In 0.666 0.750 0.562
In 0.982 0.250 0.705
S 0.037 0.750 0.900
S 0.104 0.250 0.452
S 0.239 0.750 0.254
S 0.240 0.250 0.801
S 0.410 0.750 0.071
S 0.438 0.750 0.603
S 0.562 0.250 0.397
S 0.590 0.250 0.929
S 0.760 0.750 0.199
S 0.761 0.250 0.746
S 0.896 0.750 0.548
S 0.963 0.250 0.100

=====

[2]
Here is crystalline Tb3Sc at its relaxed geometry from Alexandria. Energies are from GGA-PBE.

Size of the total moment ... 0.0 μB per cell
Mass density ... 7.24 Mg/m³
Energy of formation ... 0.2 eV/f.u.

Lattice parameters (Å, degrees): 4.948 4.948 9.780 90.00 90.00 90.00
Atoms (fractional coordinates):
Tb 0.000 0.000 0.000
Tb 0.000 0.500 0.250
Tb 0.000 0.500 0.750
Tb 0.500 0.000 0.250
Tb 0.500 0.000 0.750
Tb 0.500 0.500 0.500
Sc 0.000 0.000 0.500
Sc 0.500 0.500 0.000

=====

[3]
Here is crystalline Ba2UBe2P4 at its relaxed geometry from Alexandria. Energies are from GGA-PBE.

Size of the total moment ... 1.9 μB per cell
Mass density ... 5.35 Mg/m³
Energy of formation ... -7.2 eV/f.u.

Lattice parameters (Å, degrees): 7.596 7.596 7.458 109.64 109.64 30.26
Atoms (fractional coordinates):
Ba 0.137 0.137 0.077
Ba 0.863 0.863 0.923
U 0.000 0.000 0.500
Be 0.327 0.327 0.522
Be 0.673 0.673 0.478
P 0.202 0.202 0.646
P 0.477 0.477 0.736
P 0.523 0.523 0.264
P 0.798 0.798 0.354